# ScPtW3, optimized geometry, DFT PBE
# Energy above the most stable polymorph in this dataset (meV/atom): 609
data_ScPtW3
_chemical_formula_sum 'Sc1 Pt1 W3'
_cell_length_a 4.533
_cell_length_b 4.533
_cell_length_c 4.533
_cell_angle_alpha 90.00
_cell_angle_beta 90.00
_cell_angle_gamma 90.00
_symmetry_space_group_name_H-M 'P m -3 m'
_symmetry_Int_Tables_number 221
_symmetry_space_group_name_Hall '-P 4 2 3'
loop_
_atom_site_label
_atom_site_type_symbol
_atom_site_fract_x
_atom_site_fract_y
_atom_site_fract_z
Sc1 Sc 0.000 0.000 0.000
Pt1 Pt 0.500 0.500 0.500
W1 W 0.000 0.000 0.500



# Ta2NbSi6, optimized geometry, DFT PBE
# Formation energy (no corrections) (eV/atom): -0.506
data_Ta2NbSi6
_chemical_formula_sum 'Ta4 Nb2 Si12'
_cell_length_a 4.803
_cell_length_b 8.326
_cell_length_c 6.612
_cell_angle_alpha 90.00
_cell_angle_beta 90.00
_cell_angle_gamma 90.00
_symmetry_space_group_name_H-M 'C 2 2 2'
_symmetry_Int_Tables_number 21
loop_
_symmetry_equiv_pos_as_xyz
'x,y,z'
'-x,-y,z'
'x,-y,-z'
'-x,y,-z'
'x+1/2,y+1/2,z'
'-x+1/2,-y+1/2,z'
'x+1/2,-y+1/2,-z'
'-x+1/2,y+1/2,-z'
loop_
_atom_site_label
_atom_site_type_symbol
_atom_site_fract_x
_atom_site_fract_y
_atom_site_fract_z
Ta1 Ta 0.250 0.250 0.165
Nb1 Nb 0.000 0.000 0.500
Si1 Si 0.000 0.340 0.500
Si2 Si 0.239 0.421 0.833



# Tb2ZnGa2Ni5, optimized geometry, DFT PBE
# E (eV/cell): -97.3
data_Tb2ZnGa2Ni5
_chemical_formula_sum 'Tb4 Zn2 Ga4 Ni10'
_cell_length_a 9.631
_cell_length_b 9.631
_cell_length_c 3.353
_cell_angle_alpha 90.00
_cell_angle_beta 90.00
_cell_angle_gamma 90.00
_symmetry_space_group_name_H-M 'P 4/m b m'
_symmetry_Int_Tables_number 127
_symmetry_space_group_name_Hall '-P 4 2ab'
loop_
_atom_site_label
_atom_site_type_symbol
_atom_site_fract_x
_atom_site_fract_y
_atom_site_fract_z
Tb1 Tb 0.176 0.324 0.000
Zn1 Zn 0.000 0.000 0.000
Ga1 Ga 0.123 0.623 0.000
Ni1 Ni 0.000 0.500 0.500
Ni2 Ni 0.054 0.800 0.500



# ReTc2Hg, optimized geometry, DFT PBE
# E (eV/cell): -62.1
data_ReTc2Hg
_chemical_formula_sum 'Re2 Tc4 Hg2'
_cell_length_a 2.896
_cell_length_b 4.695
_cell_length_c 9.681
_cell_angle_alpha 90.00
_cell_angle_beta 90.00
_cell_angle_gamma 90.00
_symmetry_space_group_name_H-M 'I m m 2'
_symmetry_Int_Tables_number 44
loop_
_symmetry_equiv_pos_as_xyz
'x,y,z'
'-x,-y,z'
'-x,y,z'
'x,-y,z'
'x+1/2,y+1/2,z+1/2'
'-x+1/2,-y+1/2,z+1/2'
'-x+1/2,y+1/2,z+1/2'
'x+1/2,-y+1/2,z+1/2'
loop_
_atom_site_label
_atom_site_type_symbol
_atom_site_fract_x
_atom_site_fract_y
_atom_site_fract_z
Re1 Re 0.000 0.000 0.000
Tc1 Tc 0.000 0.000 0.556
Tc2 Tc 0.000 0.500 0.277
Hg1 Hg 0.000 0.500 0.779



What did the third record say?
# Tb2ZnGa2Ni5, optimized geometry, DFT PBE
# E (eV/cell): -97.3
data_Tb2ZnGa2Ni5
_chemical_formula_sum 'Tb4 Zn2 Ga4 Ni10'
_cell_length_a 9.631
_cell_length_b 9.631
_cell_length_c 3.353
_cell_angle_alpha 90.00
_cell_angle_beta 90.00
_cell_angle_gamma 90.00
_symmetry_space_group_name_H-M 'P 4/m b m'
_symmetry_Int_Tables_number 127
_symmetry_space_group_name_Hall '-P 4 2ab'
loop_
_atom_site_label
_atom_site_type_symbol
_atom_site_fract_x
_atom_site_fract_y
_atom_site_fract_z
Tb1 Tb 0.176 0.324 0.000
Zn1 Zn 0.000 0.000 0.000
Ga1 Ga 0.123 0.623 0.000
Ni1 Ni 0.000 0.500 0.500
Ni2 Ni 0.054 0.800 0.500